[1]
VASP calculation (SCAN) on LaFeCu2 at its PBEsol-relaxed geometry.

The structure in CIF format:
```
data_LaFeCu2
_chemical_formula_sum 'La2 Fe2 Cu4'
_cell_length_a 3.8127
_cell_length_b 3.8127
_cell_length_c 8.6126
_cell_angle_alpha 90.00
_cell_angle_beta 90.00
_cell_angle_gamma 90.00
_symmetry_space_group_name_H-M 'I 4/m m m'
_symmetry_Int_Tables_number 139
_symmetry_space_group_name_Hall '-I 4 2'
loop_
_atom_site_label
_atom_site_fract_x
_atom_site_fract_y
_atom_site_fract_z
La1 0.0000 0.0000 0.0000
Fe1 0.0000 0.0000 0.5000
Cu1 0.0000 0.5000 0.2500
```



[2]
VASP calculation (SCAN) on LaFe4Cu3O12 at its PBEsol-relaxed geometry.

The structure in CIF format:
```
data_LaFe4Cu3O12
_chemical_formula_sum 'La2 Fe8 Cu6 O24'
_cell_length_a 7.1964
_cell_length_b 7.1964
_cell_length_c 7.1964
_cell_angle_alpha 90.00
_cell_angle_beta 90.00
_cell_angle_gamma 90.00
_symmetry_space_group_name_H-M 'I m -3'
_symmetry_Int_Tables_number 204
_symmetry_space_group_name_Hall '-I 2 2 3'
loop_
_atom_site_label
_atom_site_fract_x
_atom_site_fract_y
_atom_site_fract_z
La1 0.0000 0.0000 0.0000
Fe1 0.2500 0.2500 0.2500
Cu1 0.0000 0.0000 0.5000
O1 0.0000 0.1810 0.3058
```

Summary:
Formation energy from raw total energies = -1.61 eV/atom



[3]
VASP calculation (SCAN) on Sr2La3Fe4CuO15 at its PBEsol-relaxed geometry.

The structure in CIF format:
```
data_Sr2La3Fe4CuO15
_chemical_formula_sum 'Sr6 La9 Fe12 Cu3 O45'
_cell_length_a 5.3911
_cell_length_b 5.3911
_cell_length_c 32.8888
_cell_angle_alpha 90.00
_cell_angle_beta 90.00
_cell_angle_gamma 120.00
_symmetry_space_group_name_H-M 'R -3 m'
_symmetry_Int_Tables_number 166
_symmetry_space_group_name_Hall '-R 3 2"'
loop_
_atom_site_label
_atom_site_fract_x
_atom_site_fract_y
_atom_site_fract_z
Sr1 0.0000 0.0000 0.0987
La1 0.0000 0.0000 0.3012
La2 0.0000 0.0000 0.5000
Fe1 0.0000 0.0000 0.1994
Fe2 0.0000 0.0000 0.4010
Cu1 0.0000 0.0000 0.0000
O1 0.0000 0.5000 0.5000
O2 0.0007 0.5003 0.1006
O3 0.0163 0.5081 0.2999
```

Summary:
Formation energy from raw total energies = -2.52 eV/atom



[4]
VASP calculation (SCAN) on LiFe2Cu at its PBEsol-relaxed geometry.

The structure in CIF format:
```
data_LiFe2Cu
_chemical_formula_sum 'Li1 Fe2 Cu1'
_cell_length_a 2.6016
_cell_length_b 3.9985
_cell_length_c 4.2545
_cell_angle_alpha 90.00
_cell_angle_beta 90.00
_cell_angle_gamma 90.00
_symmetry_space_group_name_H-M 'P m m m'
_symmetry_Int_Tables_number 47
_symmetry_space_group_name_Hall '-P 2 2'
loop_
_atom_site_label
_atom_site_fract_x
_atom_site_fract_y
_atom_site_fract_z
Li1 0.0000 0.0000 0.0000
Fe1 0.0000 0.5000 0.5000
Fe2 0.5000 0.0000 0.5000
Cu1 0.5000 0.5000 0.0000
```



[5]
VASP calculation (SCAN) on LiFe2Cu at its PBEsol-relaxed geometry.

The structure in CIF format:
```
data_LiFe2Cu
_chemical_formula_sum 'Li4 Fe8 Cu4'
_cell_length_a 5.6065
_cell_length_b 5.6065
_cell_length_c 5.6065
_cell_angle_alpha 90.00
_cell_angle_beta 90.00
_cell_angle_gamma 90.00
_symmetry_space_group_name_H-M 'F -4 3 m'
_symmetry_Int_Tables_number 216
_symmetry_space_group_name_Hall 'F -4 2 3'
loop_
_atom_site_label
_atom_site_fract_x
_atom_site_fract_y
_atom_site_fract_z
Li1 0.0000 0.0000 0.0000
Fe1 0.0000 0.0000 0.5000
Fe2 0.2500 0.2500 0.7500
Cu1 0.2500 0.2500 0.2500
```



[6]
VASP calculation (SCAN) on LiFeCu at its PBEsol-relaxed geometry.

The structure in CIF format:
```
data_LiFeCu
_chemical_formula_sum 'Li4 Fe4 Cu4'
_cell_length_a 5.5221
_cell_length_b 5.5221
_cell_length_c 5.5221
_cell_angle_alpha 90.00
_cell_angle_beta 90.00
_cell_angle_gamma 90.00
_symmetry_space_group_name_H-M 'F -4 3 m'
_symmetry_Int_Tables_number 216
_symmetry_space_group_name_Hall 'F -4 2 3'
loop_
_atom_site_label
_atom_site_fract_x
_atom_site_fract_y
_atom_site_fract_z
Li1 0.0000 0.0000 0.0000
Fe1 0.0000 0.0000 0.5000
Cu1 0.2500 0.2500 0.7500
```

Summary:
Relative energy among the computed polymorphs = 422 meV per atom



Number 1: VASP energy -180.55 eV for the cell shown, M_tot 0.35 μB/atom. Number 2: VASP energy -536.40 eV for the cell shown, M_tot 0.65 μB/atom. Number 3: VASP energy -1254.01 eV for the cell shown, M_tot 0.56 μB/atom. Number 4: VASP energy -53.10 eV for the cell shown, M_tot 1.30 μB/atom. Number 5: VASP energy -211.85 eV for the cell shown, M_tot 1.25 μB/atom. Number 6: VASP energy -135.82 eV for the cell shown, M_tot 1.01 μB/atom.